# 1
This record from Alexandria via LeMat-Bulk describes a geometry-optimized CaFe2CuOs structure. The functional is PBE-GGA.

Results
**DOS(E_F)**: 1.003 states/eV/atom
**E_tot**: -4.634 eV/atom
**DFT formation energy**: 2.216 eV/atom
**Symmetry**: No. 123

Cell lengths 4.3640, 4.4401, 4.3640 Å; angles 90.00, 90.00, 90.00 degrees
With the nearest neighbours (Å) after each atom.
Fractional positions:
Ca: 0.0000 0.0000 0.0000  4 Fe 2.18, 2 Cu 2.22
Os: 0.5000 0.5000 0.5000  4 Cu 3.09, 8 Fe 3.11
Fe: 0.5000 0.0000 0.0000  2 Ca 2.18
Fe: 0.0000 0.0000 0.5000  2 Ca 2.18
Cu: 0.0000 0.5000 0.0000  2 Ca 2.22

=====

# 2
This record from Alexandria via LeMat-Bulk describes a geometry-optimized CaFeCuP structure. The functional is PBE-GGA.

Results
**DOS(E_F)**: 0.838 states/eV/atom
**E_tot**: -5.490 eV/atom
**DFT formation energy**: -0.498 eV/atom
**Symmetry**: No. 129

Cell lengths 3.6950, 3.6950, 10.2102 Å; angles 90.00, 90.00, 90.00 degrees
With the nearest neighbours (Å) after each atom.
Fractional positions:
P: 0.2500 0.2500 0.1156  4 Fe 2.19
P: 0.7500 0.7500 0.8844  4 Fe 2.19
Fe: 0.7500 0.2500 0.0000  4 P 2.19
Fe: 0.2500 0.7500 0.0000  4 P 2.19
Ca: 0.2500 0.2500 0.7450  4 P 2.98, 4 Cu 3.11, 4 Fe 3.19
Ca: 0.7500 0.7500 0.2550  4 P 2.98, 4 Cu 3.11, 4 Fe 3.19
Cu: 0.2500 0.7500 0.5000  4 Cu 2.61
Cu: 0.7500 0.2500 0.5000  4 Cu 2.61

=====

# 3
This record from Alexandria via LeMat-Bulk describes a geometry-optimized CaFe2CuPb structure. The functional is PBE-GGA.

Results
**DOS(E_F)**: 1.737 states/eV/atom
**E_tot**: -4.417 eV/atom
**DFT formation energy**: 0.929 eV/atom
**Symmetry**: No. 123

Cell lengths 5.0167, 4.9396, 5.0167 Å; angles 90.00, 90.00, 90.00 degrees
With the nearest neighbours (Å) after each atom.
Fractional positions:
Fe: 0.5000 0.0000 0.0000  2 Pb 2.51
Fe: 0.0000 0.0000 0.5000  2 Pb 2.51
Ca: 0.5000 0.5000 0.5000  8 Fe 3.52, 4 Cu 3.55
Pb: 0.0000 0.0000 0.0000  2 Cu 2.47, 4 Fe 2.51
Cu: 0.0000 0.5000 0.0000  2 Pb 2.47

=====

# 4
This record from Alexandria via LeMat-Bulk describes a geometry-optimized CaFeCuSb2 structure. The functional is PBE-GGA.

Results
**Formation energy from raw total energies**: 1.55 eV/atom
**DOS(E_F)**: 1.348 states/eV/atom
**E_tot**: -3.011 eV/atom
**Symmetry**: No. 123

Cell lengths 5.6005, 4.4533, 5.6005 Å; angles 90.00, 90.00, 90.00 degrees
With the nearest neighbours (Å) after each atom.
Fractional positions:
Sb: 0.5000 0.0000 0.0000  2 Ca 2.80
Sb: 0.0000 0.0000 0.5000  2 Ca 2.80
Fe: 0.0000 0.5000 0.0000  2 Ca 2.23
Ca: 0.0000 0.0000 0.0000  2 Fe 2.23
Cu: 0.5000 0.5000 0.5000  8 Sb 3.58, 4 Fe 3.96

=====

# 5
This record from Alexandria via LeMat-Bulk describes a geometry-optimized CaFe2CuW structure. The functional is PBE-GGA.

Results
**DOS(E_F)**: 1.927 states/eV/atom
**E_tot**: -4.862 eV/atom
**DFT formation energy**: 2.334 eV/atom
**Symmetry**: No. 123

Cell lengths 4.2159, 4.4222, 4.2159 Å; angles 90.00, 90.00, 90.00 degrees
With the nearest neighbours (Å) after each atom.
Fractional positions:
Cu: 0.0000 0.5000 0.0000  2 Ca 2.21
W: 0.5000 0.5000 0.5000  4 Cu 2.98, 8 Fe 3.05
Fe: 0.5000 0.0000 0.0000  2 Ca 2.11
Fe: 0.0000 0.0000 0.5000  2 Ca 2.11
Ca: 0.0000 0.0000 0.0000  4 Fe 2.11, 2 Cu 2.21

=====

# 6
This record from Alexandria via LeMat-Bulk describes a geometry-optimized CaGa2Cu2 structure. The functional is PBE-GGA.

Results
**DOS(E_F)**: 0.357 states/eV/atom
**E_tot**: -3.367 eV/atom
**DFT formation energy**: -0.117 eV/atom
**Symmetry**: No. 127

Cell lengths 7.6469, 7.6469, 2.8768 Å; angles 90.00, 90.00, 90.00 degrees
With the nearest neighbours (Å) after each atom.
Fractional positions:
Cu: 0.8748 0.6252 0.0000  6 Ga 2.65-2.70, 3 Cu 2.71-2.88
Cu: 0.1252 0.3748 0.0000  6 Ga 2.65-2.70, 3 Cu 2.71-2.88
Cu: 0.6252 0.1252 0.0000  6 Ga 2.65-2.70, 3 Cu 2.71-2.88
Cu: 0.3748 0.8748 0.0000  6 Ga 2.65-2.70, 3 Cu 2.71-2.88
Ga: 0.8362 0.3362 0.5000  6 Cu 2.65-2.70, 2 Ga 2.88
Ga: 0.3362 0.1638 0.5000  6 Cu 2.65-2.70, 2 Ga 2.88
Ga: 0.1638 0.6638 0.5000  6 Cu 2.65-2.70, 2 Ga 2.88
Ga: 0.6638 0.8362 0.5000  6 Cu 2.65-2.70, 2 Ga 2.88
Ca: 0.0000 0.0000 0.0000  2 Ca 2.88, 4 Cu 3.02, 8 Ga 3.20
Ca: 0.5000 0.5000 0.0000  2 Ca 2.88, 4 Cu 3.02, 8 Ga 3.20

=====

# 7
This record from Alexandria via LeMat-Bulk describes a geometry-optimized CaGa2Cu4 structure. The functional is PBE-GGA.

Results
**DOS(E_F)**: 0.412 states/eV/atom
**E_tot**: -3.342 eV/atom
**DFT formation energy**: 0.150 eV/atom
**Symmetry**: No. 139

Cell lengths 5.8195, 5.8195, 5.8195 Å; angles 102.84, 102.84, 123.75 degrees
With the nearest neighbours (Å) after each atom.
Fractional positions:
Ga: 0.2500 0.7500 0.5000  4 Cu 2.41
Ga: 0.7500 0.2500 0.5000  4 Cu 2.41
Cu: 0.7271 0.5000 0.2271  2 Cu 2.33, 2 Ga 2.41
Cu: 0.5000 0.2729 0.7729  2 Cu 2.33, 2 Ga 2.41
Cu: 0.5000 0.7271 0.2271  2 Cu 2.33, 2 Ga 2.41
Cu: 0.2729 0.5000 0.7729  2 Cu 2.33, 2 Ga 2.41
Ca: 0.0000 0.0000 0.0000  8 Cu 3.20

=====

# 8
This record from Alexandria via LeMat-Bulk describes a geometry-optimized CaGaCu3 structure. The functional is PBE-GGA.

Results
**DOS(E_F)**: 0.503 states/eV/atom
**E_tot**: -3.494 eV/atom
**DFT formation energy**: -0.031 eV/atom
**Symmetry**: No. 194

Cell lengths 6.1140, 6.1140, 11.2745 Å; angles 90.00, 90.00, 120.00 degrees
With the nearest neighbours (Å) after each atom.
Fractional positions:
Ca: 0.3333 0.6667 0.2500  12 Cu 3.08-3.33
Ca: 0.0000 0.0000 0.0000  12 Cu 3.06-3.15
Ca: 0.6667 0.3333 0.7500  12 Cu 3.08-3.33
Ca: 0.0000 0.0000 0.5000  12 Cu 3.06-3.15
Cu: 0.0000 0.5000 0.5000  2 Ga 2.36
Cu: 0.2635 0.1318 0.2500  2 Cu 2.42, 2 Ga 2.48
Cu: 0.5000 0.0000 0.0000  2 Ga 2.36
Cu: 0.1318 0.8682 0.7500  2 Cu 2.42, 2 Ga 2.48
Cu: 0.8682 0.7365 0.2500  2 Cu 2.42, 2 Ga 2.48
Cu: 0.7365 0.8682 0.7500  2 Cu 2.42, 2 Ga 2.48
Cu: 0.8682 0.1318 0.2500  2 Cu 2.42, 2 Ga 2.48
Cu: 0.5000 0.5000 0.0000  2 Ga 2.36
Cu: 0.0000 0.5000 0.0000  2 Ga 2.36
Cu: 0.1318 0.2635 0.7500  2 Cu 2.42, 2 Ga 2.48
Cu: 0.5000 0.5000 0.5000  2 Ga 2.36
Cu: 0.5000 0.0000 0.5000  2 Ga 2.36
Ga: 0.3333 0.6667 0.6385  6 Cu 2.36-2.48, 1 Ga 2.51
Ga: 0.6667 0.3333 0.1385  6 Cu 2.36-2.48, 1 Ga 2.51
Ga: 0.3333 0.6667 0.8615  6 Cu 2.36-2.48, 1 Ga 2.51
Ga: 0.6667 0.3333 0.3615  6 Cu 2.36-2.48, 1 Ga 2.51

=====

# 9
This record from Alexandria via LeMat-Bulk describes a geometry-optimized Ca4GaCu structure. The functional is PBE-GGA.

Results
**DOS(E_F)**: 0.778 states/eV/atom
**E_tot**: -2.700 eV/atom
**DFT formation energy**: -0.178 eV/atom
**Symmetry**: No. 97

Cell lengths 6.1836, 6.1836, 6.1836 Å; angles 105.92, 105.92, 116.84 degrees
With the nearest neighbours (Å) after each atom.
Fractional positions:
Ca: 0.5734 0.0734 0.1469  2 Ga 3.19, 2 Cu 3.19
Ca: 0.9266 0.4266 0.8531  2 Cu 3.19, 2 Ga 3.19
Ca: 0.4266 0.5734 0.5000  2 Ga 3.19, 2 Cu 3.19
Ca: 0.0734 0.9266 0.5000  2 Cu 3.19, 2 Ga 3.19
Cu: 0.5000 0.5000 0.0000  8 Ca 3.19, 2 Ga 3.24
Ga: 0.0000 0.0000 0.0000  8 Ca 3.19, 2 Cu 3.24

=====

# 10
This record from Alexandria via LeMat-Bulk describes a geometry-optimized CaGa6Cu4 structure. The functional is PBE-GGA.

Results
**DOS(E_F)**: 0.407 states/eV/atom
**E_tot**: -3.532 eV/atom
**DFT formation energy**: -0.209 eV/atom
**Symmetry**: No. 187

Cell lengths 3.9963, 7.2304, 7.2304 Å; angles 120.00, 90.00, 90.00 degrees
With the nearest neighbours (Å) after each atom.
Fractional positions:
Ga: 0.0000 0.9319 0.4660  5 Cu 2.51-2.57
Ga: 0.5000 0.1984 0.3968  4 Cu 2.56-2.62
Ga: 0.5000 0.6032 0.8016  4 Cu 2.56-2.62
Ga: 0.0000 0.5340 0.0681  5 Cu 2.51-2.57
Ga: 0.0000 0.5340 0.4660  5 Cu 2.51-2.57
Ga: 0.5000 0.1984 0.8016  4 Cu 2.56-2.62
Ca: 0.0000 0.0000 0.0000  6 Ga 3.19, 6 Cu 3.30
Cu: 0.5000 0.7906 0.5811  6 Ga 2.56-2.57, 2 Cu 2.69
Cu: 0.5000 0.4189 0.2094  6 Ga 2.56-2.57, 2 Cu 2.69
Cu: 0.0000 0.3333 0.6667  9 Ga 2.51-2.62
Cu: 0.5000 0.7906 0.2094  6 Ga 2.56-2.57, 2 Cu 2.69